CaZrO2F | PBE | optimized geometry

Electronic total energy, eV/atom: -7.244
E_form (uncorrected), eV/atom: -2.78
SG: P4/mmm
Calculated volume, Å³ per cell: 75.92

a = 4.208 Å, b = 4.208 Å, c = 4.287 Å
α = 90.00°, β = 90.00°, γ = 90.00°
Element x y z (fractional)
Ca (0.000, 0.000, 0.000)
Zr (0.500, 0.500, 0.500)
O (0.000, 0.500, 0.500)
O (0.500, 0.000, 0.500)
F (0.500, 0.500, 0.000)